Entry 1:
A relaxed structure of Na6CdF8, computed with PBE-GGA.

a = 6.7191 Å, b = 6.7191 Å, c = 6.7191 Å
α = 60.00°, β = 60.00°, γ = 60.00°
With the nearest neighbours (Å) after each atom.
Fractional positions:
Na (0.0000, 0.0000, 0.5000)  6 F 2.38
Na (0.0000, 0.5000, 0.0000)  6 F 2.38
Na (0.0000, 0.5000, 0.5000)  6 F 2.38
Na (0.5000, 0.0000, 0.0000)  6 F 2.38
Na (0.5000, 0.0000, 0.5000)  6 F 2.38
Na (0.5000, 0.5000, 0.0000)  6 F 2.38
Cd (0.0000, 0.0000, 0.0000)  6 F 2.24
F (0.2361, 0.2361, 0.7639)  1 Cd 2.24, 4 Na 2.38
F (0.2361, 0.7639, 0.2361)  1 Cd 2.24, 4 Na 2.38
F (0.2361, 0.7639, 0.7639)  1 Cd 2.24, 4 Na 2.38
F (0.2500, 0.2500, 0.2500)  6 Na 2.38
F (0.7500, 0.7500, 0.7500)  6 Na 2.38
F (0.7639, 0.2361, 0.2361)  1 Cd 2.24, 4 Na 2.38
F (0.7639, 0.2361, 0.7639)  1 Cd 2.24, 4 Na 2.38
F (0.7639, 0.7639, 0.2361)  1 Cd 2.24, 4 Na 2.38

Output
For the magnetization, the calculation gives 0.000 μB per atom. Its space group is Fm-3m (225). For the total energy, the calculation gives -4.198 eV per atom. The value obtained for the uncorrected formation energy is -2.6113 eV/atom.

***

Entry 2:
A relaxed structure of TaZn2Ag, computed with PBE-GGA.

a = 5.7414 Å, b = 5.7414 Å, c = 5.7414 Å
α = 103.97°, β = 103.97°, γ = 121.14°
With the nearest neighbours (Å) after each atom.
Fractional positions:
Ta (0.0000, 0.0000, 0.0000)  4 Zn 2.65, 2 Ag 2.82
Ta (0.7500, 0.2500, 0.5000)  4 Zn 2.65, 2 Ag 2.82
Zn (0.1355, 0.6250, 0.0105)  2 Ag 2.55, 2 Ta 2.65, 2 Zn 2.83
Zn (0.3750, 0.3855, 0.5105)  2 Ag 2.55, 2 Ta 2.65, 2 Zn 2.83
Zn (0.6145, 0.1250, 0.9895)  2 Ag 2.55, 2 Ta 2.65, 2 Zn 2.83
Zn (0.8750, 0.8645, 0.4895)  2 Ag 2.55, 2 Ta 2.65, 2 Zn 2.83
Ag (0.2500, 0.7500, 0.5000)  4 Zn 2.55, 2 Ta 2.82
Ag (0.5000, 0.5000, 0.0000)  4 Zn 2.55, 2 Ta 2.82

Output
The energy above the most stable polymorph in this dataset is 542 meV/atom. The calculation puts the formation enthalpy at 0 K at 527.8 meV/atom. For the magnetization, the calculation gives 0.000 μB per atom. Its space group is I-42d (122). For the total energy, the calculation gives -3.785 eV per atom.

***

Entry 3:
A relaxed structure of BeCdSnAs2, computed with PBE-GGA.

a = 4.5057 Å, b = 4.5057 Å, c = 5.3141 Å
α = 90.00°, β = 90.00°, γ = 90.00°
With the nearest neighbours (Å) after each atom.
Fractional positions:
Be (0.0000, 0.0000, 0.0000)  4 As 2.25
Cd (0.5000, 0.5000, 0.5000)  4 Sn 3.19, 8 As 3.48
Sn (0.0000, 0.0000, 0.5000)  2 Be 2.66
As (0.0000, 0.5000, 0.0000)  2 Be 2.25
As (0.5000, 0.0000, 0.0000)  2 Be 2.25

Output
The calculation puts the formation enthalpy at 0 K at 381.5 meV/atom. For the magnetization, the calculation gives 0.000 μB per atom. Its space group is P4/mmm (123). For the total energy, the calculation gives -3.207 eV per atom.

***

Entry 4:
A relaxed structure of Tb2HoPd, computed with PBE-GGA.

a = 10.0069 Å, b = 10.0069 Å, c = 10.0069 Å
α = 21.05°, β = 21.05°, γ = 21.05°
With the nearest neighbours (Å) after each atom.
Fractional positions:
Tb (0.2335, 0.2335, 0.2335)  3 Pd 2.88
Tb (0.7665, 0.7665, 0.7665)  3 Pd 2.88
Ho (0.0000, 0.0000, 0.0000)  6 Tb 3.61, 6 Ho 3.66
Pd (0.5000, 0.5000, 0.5000)  6 Tb 2.88

Output
The energy above the most stable polymorph in this dataset is 181 meV/atom. The calculation puts the formation enthalpy at 0 K at -288.3 meV/atom. For the magnetization, the calculation gives 0.000 μB per atom. Its space group is R-3m (166). For the total energy, the calculation gives -5.046 eV per atom.

***

Entry 5:
A relaxed structure of AgPd5O6, computed with PBE-GGA.

a = 5.6382 Å, b = 5.6382 Å, c = 5.9115 Å
α = 106.14°, β = 106.14°, γ = 105.16°
With the nearest neighbours (Å) after each atom.
Fractional positions:
Ag (0.0000, 0.0000, 0.0000)  2 O 2.10
Pd (0.1668, 0.8332, 0.5000)  4 O 2.03-2.04
Pd (0.3354, 0.6646, 0.0000)  2 O 2.00
Pd (0.5000, 0.5000, 0.5000)  4 O 2.04
Pd (0.6646, 0.3354, 0.0000)  2 O 2.00
Pd (0.8332, 0.1668, 0.5000)  4 O 2.03-2.04
O (0.1470, 0.1470, 0.7567)  2 Pd 2.04, 1 Ag 2.10
O (0.1993, 0.5341, 0.2393)  3 Pd 2.00-2.04
O (0.4659, 0.8007, 0.7607)  3 Pd 2.00-2.04
O (0.5341, 0.1993, 0.2393)  3 Pd 2.00-2.04
O (0.8007, 0.4659, 0.7607)  3 Pd 2.00-2.04
O (0.8530, 0.8530, 0.2433)  2 Pd 2.04, 1 Ag 2.10

Output
For the magnetization, the calculation gives 0.000 μB per atom. Its space group is C2/m (12). For the total energy, the calculation gives -5.066 eV per atom. The value obtained for the uncorrected formation energy is -0.1861 eV/atom.

***

Entry 6:
A relaxed structure of AcSb2Ir, computed with PBE-GGA.

a = 5.0691 Å, b = 5.0691 Å, c = 5.0691 Å
α = 67.86°, β = 67.86°, γ = 67.86°
With the nearest neighbours (Å) after each atom.
Fractional positions:
Ac (0.0000, 0.0000, 0.0000)  8 Sb 3.19-3.34
Sb (0.2745, 0.2745, 0.2745)  1 Ir 2.62
Sb (0.7255, 0.7255, 0.7255)  1 Ir 2.62
Ir (0.5000, 0.5000, 0.5000)  2 Sb 2.62

Output
The energy above the most stable polymorph in this dataset is 575 meV/atom. For the magnetization, the calculation gives 0.000 μB per atom. Its space group is R-3m (166). For the total energy, the calculation gives -5.458 eV per atom. The value obtained for the uncorrected formation energy is -0.1546 eV/atom.

***

Entry 7:
A relaxed structure of CoRe, computed with PBE-GGA.

a = 2.6133 Å, b = 2.6133 Å, c = 3.7204 Å
α = 90.00°, β = 90.00°, γ = 90.00°
With the nearest neighbours (Å) after each atom.
Fractional positions:
Co (0.0000, 0.0000, 0.0000)  4 Co 2.61, 8 Re 2.62
Re (0.5000, 0.5000, 0.5000)  4 Re 2.61, 8 Co 2.62

Output
The calculation puts the formation enthalpy at 0 K at 59.6 meV/atom. For the magnetization, the calculation gives 0.186 μB per atom. Its space group is P4/mmm (123). For the total energy, the calculation gives -9.717 eV per atom.

***

Entry 8:
A relaxed structure of MgMo2Os, computed with PBE-GGA.

a = 2.7209 Å, b = 2.7209 Å, c = 9.3398 Å
α = 90.00°, β = 90.00°, γ = 111.38°
With the nearest neighbours (Å) after each atom.
Fractional positions:
Mg (0.0000, 0.0000, 0.0000)  4 Mg 2.72, 4 Mo 2.89
Mo (0.5000, 0.5000, 0.2626)  2 Os 2.70, 4 Mo 2.72, 2 Mg 2.89
Mo (0.5000, 0.5000, 0.7374)  2 Os 2.70, 4 Mo 2.72, 2 Mg 2.89
Os (0.0000, 0.0000, 0.5000)  4 Mo 2.70, 4 Os 2.72

Output
The calculation puts the formation enthalpy at 0 K at 328.4 meV/atom. For the magnetization, the calculation gives 0.000 μB per atom. Its space group is Cmmm (65). For the total energy, the calculation gives -8.293 eV per atom.